Record 1
Here is an optimized crystal structure of Ti2ZnH from Alexandria. Energies are from PBE-GGA.

The total energy comes out at -21.5 eV per formula unit.

The space group is Cmcm (No. 63) and the conventional cell measures 3.762, 12.943 and 4.109 Å, with angles of 90.00, 90.00 and 90.00 degrees. Symmetry generates all atoms from Ti at (0.000, 0.077, 0.250), Ti at (0.000, 0.239, 0.750), Zn at (0.000, 0.418, 0.250) and H at (0.000, 0.222, 0.250).

Record 2
Here is an optimized crystal structure of Tm5Cd2OsRh2 from Alexandria. Energies are from PBE-GGA.

The formation energy is -4.92 eV/f.u. The total energy comes out at -55.0 eV per formula unit.

The space group is P4/mbm (No. 127) and the conventional cell measures 11.425, 11.425 and 3.501 Å, with angles of 90.00, 90.00 and 90.00 degrees. Symmetry generates all atoms from Tm at (0.000, 0.500, 0.000), Tm at (0.066, 0.194, 0.000), Cd at (0.178, 0.678, 0.500), Os at (0.000, 0.000, 0.500) and Rh at (0.131, 0.369, 0.500).

Record 3
Here is an optimized crystal structure of Ho3Sc2Au3 from Alexandria. Energies are from PBE-GGA.

The formation energy is -5.23 eV/f.u. The total energy comes out at -41.5 eV per formula unit.

The space group is Immm (No. 71) and the conventional cell measures 3.559, 5.033 and 20.928 Å, with angles of 90.00, 90.00 and 90.00 degrees. Symmetry generates all atoms from Ho at (0.000, 0.000, 0.000), Ho at (0.000, 0.500, 0.122), Sc at (0.000, 0.000, 0.233), Au at (0.000, 0.000, 0.500) and Au at (0.000, 0.500, 0.373).

Copy entry 3 word for word.
Here is an optimized crystal structure of Ho3Sc2Au3 from Alexandria. Energies are from PBE-GGA.

The formation energy is -5.23 eV/f.u. The total energy comes out at -41.5 eV per formula unit.

The space group is Immm (No. 71) and the conventional cell measures 3.559, 5.033 and 20.928 Å, with angles of 90.00, 90.00 and 90.00 degrees. Symmetry generates all atoms from Ho at (0.000, 0.000, 0.000), Ho at (0.000, 0.500, 0.122), Sc at (0.000, 0.000, 0.233), Au at (0.000, 0.000, 0.500) and Au at (0.000, 0.500, 0.373).